# Tb2CuF8, optimized geometry, DFT PBE
# offset from the most stable computed form: 0.0 kJ/mol of atoms
# total magnetization: 1.000 μB/f.u.
# density of states at the Fermi level: 0.128 states/eV per atom
# DFT total energy: -0.2194 hartree per atom
# ΔE_f (raw): -3.40 eV per atom
data_Tb2CuF8
_chemical_formula_sum 'Tb4 Cu2 F16'
_space_group_name_H-M_alt 'C 1 2/m 1'
_space_group_IT_number 12
_space_group_name_Hall '-C 2y'
_cell_length_a 9.522
_cell_length_b 7.159
_cell_length_c 4.619
_cell_angle_alpha 90.00
_cell_angle_beta 107.24
_cell_angle_gamma 90.00
loop_
_atom_site_label
_atom_site_type_symbol
_atom_site_fract_x
_atom_site_fract_y
_atom_site_fract_z
_atom_site_occupancy
Tb1 Tb 0.177 0.000 0.384 1
Cu1 Cu 0.000 0.500 0.000 1
F1 F 0.078 0.000 0.794 1
F2 F 0.127 0.500 0.762 1
F3 F 0.152 0.307 0.272 1

# LiAc4Tc, optimized geometry, DFT PBE
# total magnetization: 0.000 μB/f.u.
# E_form: 0.06 eV per atom
# density of states at the Fermi level: 0.953 states/eV per atom
# DFT total energy: -0.1736 hartree per atom
data_LiAc4Tc
_chemical_formula_sum 'Li4 Ac16 Tc4'
_space_group_name_H-M_alt 'C 1 2/c 1'
_space_group_IT_number 15
_space_group_name_Hall '-C 2yc'
_cell_length_a 9.723
_cell_length_b 13.919
_cell_length_c 6.736
_cell_angle_alpha 90.00
_cell_angle_beta 109.25
_cell_angle_gamma 90.00
loop_
_atom_site_label
_atom_site_type_symbol
_atom_site_fract_x
_atom_site_fract_y
_atom_site_fract_z
_atom_site_occupancy
Li1 Li 0.000 0.124 0.250 1
Ac1 Ac 0.105 0.332 0.552 1
Ac2 Ac 0.222 0.079 0.875 1
Tc1 Tc 0.000 0.500 0.250 1

# TiZn5, optimized geometry, DFT PBE
# total magnetization: 0.000 μB/f.u.
# E_form: -0.12 eV per atom
# density of states at the Fermi level: 0.588 states/eV per atom
# DFT total energy: -0.0917 hartree per atom
data_TiZn5
_chemical_formula_sum 'Ti2 Zn10'
_space_group_name_H-M_alt 'C m m m'
_space_group_IT_number 65
_space_group_name_Hall '-C 2 2'
_cell_length_a 3.967
_cell_length_b 11.284
_cell_length_c 4.026
_cell_angle_alpha 90.00
_cell_angle_beta 90.00
_cell_angle_gamma 90.00
loop_
_atom_site_label
_atom_site_type_symbol
_atom_site_fract_x
_atom_site_fract_y
_atom_site_fract_z
_atom_site_occupancy
Ti1 Ti 0.000 0.000 0.000 1
Zn1 Zn 0.000 0.162 0.500 1
Zn2 Zn 0.000 0.326 0.000 1
Zn3 Zn 0.000 0.500 0.500 1

# CrNiOs2, optimized geometry, DFT PBE
# offset from the most stable computed form: 3.0 kJ/mol of atoms
# total magnetization: 0.526 μB/f.u.
# E_form: 0.10 eV per atom
# density of states at the Fermi level: 1.103 states/eV per atom
# DFT total energy: -0.3441 hartree per atom
data_CrNiOs2
_chemical_formula_sum 'Cr1 Ni1 Os2'
_space_group_name_H-M_alt 'P m m 2'
_space_group_IT_number 25
_space_group_name_Hall 'P 2 -2'
_cell_length_a 2.669
_cell_length_b 3.752
_cell_length_c 5.191
_cell_angle_alpha 90.00
_cell_angle_beta 90.00
_cell_angle_gamma 90.00
loop_
_atom_site_label
_atom_site_type_symbol
_atom_site_fract_x
_atom_site_fract_y
_atom_site_fract_z
_atom_site_occupancy
Cr1 Cr 0.000 0.000 0.000 1
Ni1 Ni 0.500 0.500 0.231 1
Os1 Os 0.000 0.000 0.479 1
Os2 Os 0.500 0.500 0.739 1

# Y7Ho2Tm4, optimized geometry, DFT PBE
# total magnetization: 0.001 μB/f.u.
# E_form: 0.08 eV per atom
# density of states at the Fermi level: 1.875 states/eV per atom
# DFT total energy: -0.2016 hartree per atom
data_Y7Ho2Tm4
_chemical_formula_sum 'Y7 Ho2 Tm4'
_space_group_name_H-M_alt 'P -1'
_space_group_IT_number 2
_space_group_name_Hall '-P 1'
_cell_length_a 6.688
_cell_length_b 8.580
_cell_length_c 8.825
_cell_angle_alpha 117.25
_cell_angle_beta 100.13
_cell_angle_gamma 104.09
loop_
_atom_site_label
_atom_site_type_symbol
_atom_site_fract_x
_atom_site_fract_y
_atom_site_fract_z
_atom_site_occupancy
Y1 Y 0.000 0.000 0.000 1
Y2 Y 0.084 0.358 0.542 1
Y3 Y 0.245 0.992 0.428 1
Y4 Y 0.349 0.528 0.312 1
Ho1 Ho 0.298 0.269 0.867 1
Tm1 Tm 0.178 0.670 0.005 1
Tm2 Tm 0.420 0.851 0.777 1

# UNbTc, optimized geometry, DFT PBE
# offset from the most stable computed form: 3.8 kJ/mol of atoms
# total magnetization: 0.126 μB/f.u.
# E_form: 0.25 eV per atom
# density of states at the Fermi level: 1.970 states/eV per atom
# DFT total energy: -0.3794 hartree per atom
data_UNbTc
_chemical_formula_sum 'U1 Nb1 Tc1'
_space_group_name_H-M_alt 'P 3 m 1'
_space_group_IT_number 156
_space_group_name_Hall 'P 3 -2"'
_cell_length_a 3.0142
_cell_length_b 3.0142
_cell_length_c 7.0449
_cell_angle_alpha 90.00
_cell_angle_beta 90.00
_cell_angle_gamma 120.00
loop_
_atom_site_label
_atom_site_type_symbol
_atom_site_fract_x
_atom_site_fract_y
_atom_site_fract_z
_atom_site_occupancy
U1 U 0.0000 0.0000 0.0000 1
Nb1 Nb 0.3333 0.6667 0.6200 1
Tc1 Tc 0.6667 0.3333 0.3339 1

# RuW3, optimized geometry, DFT PBE
# total magnetization: 0.000 μB/f.u.
# E_form: 0.27 eV per atom
# density of states at the Fermi level: 1.182 states/eV per atom
# DFT total energy: -0.4323 hartree per atom
data_RuW3
_chemical_formula_sum 'Ru2 W6'
_space_group_name_H-M_alt 'C m m m'
_space_group_IT_number 65
_space_group_name_Hall '-C 2 2'
_cell_length_a 5.731
_cell_length_b 7.622
_cell_length_c 2.886
_cell_angle_alpha 90.00
_cell_angle_beta 90.00
_cell_angle_gamma 90.00
loop_
_atom_site_label
_atom_site_type_symbol
_atom_site_fract_x
_atom_site_fract_y
_atom_site_fract_z
_atom_site_occupancy
Ru1 Ru 0.000 0.000 0.000 1
W1 W 0.000 0.500 0.000 1
W2 W 0.250 0.250 0.500 1

# NaCa3Pt, optimized geometry, DFT PBE
# offset from the most stable computed form: 72.4 kJ/mol of atoms
# total magnetization: 0.000 μB/f.u.
# E_form: 0.28 eV per atom
# density of states at the Fermi level: 0.699 states/eV per atom
# DFT total energy: -0.0879 hartree per atom
data_NaCa3Pt
_chemical_formula_sum 'Na3 Ca9 Pt3'
_space_group_name_H-M_alt 'R 3 m'
_space_group_IT_number 160
_space_group_name_Hall 'R 3 -2"'
_cell_length_a 8.5856
_cell_length_b 8.5856
_cell_length_c 11.6229
_cell_angle_alpha 90.00
_cell_angle_beta 90.00
_cell_angle_gamma 120.00
loop_
_atom_site_label
_atom_site_type_symbol
_atom_site_fract_x
_atom_site_fract_y
_atom_site_fract_z
_atom_site_occupancy
Na1 Na 0.0000 0.0000 0.0000 1
Ca1 Ca 0.0038 0.5019 0.5090 1
Pt1 Pt 0.0000 0.0000 0.7392 1